The following is a PBE calculation of crystalline CePuRu2 at its relaxed geometry, from Alexandria via LeMat-Bulk.

Final energy in eV/cell: -39.65
Calculated volume in Å³ per atom: 19.94
Energy relative to the elements in eV/atom: -0.209
Mass density in Mg/m³: 12.20

Cell lengths 3.4276, 4.8242, 4.8242 Å; angles 90.00, 90.00, 90.00 degrees
Site moments in Bohr magnetons follow the coordinates.
Positions (direct):
Ru (0.0000, 0.0000, 0.5000)  -0.39
Ru (0.0000, 0.5000, 0.0000)  -0.39
Ce (0.5000, 0.0000, 0.0000)  0.33
Pu (0.5000, 0.5000, 0.5000)  4.90

The following is a PBE calculation of crystalline LaPm2HoTm at its relaxed geometry, from Alexandria via LeMat-Bulk.

Final energy in eV/cell: -44.29
Calculated volume in Å³ per atom: 35.60
Energy relative to the elements in eV/atom: 0.267
Mass density in Mg/m³: 7.11

Cell lengths 5.6284, 8.6115, 7.3457 Å; angles 90.11, 90.00, 90.00 degrees
Positions (direct):
La (0.0000, 0.0000, 0.0000)
La (0.0000, 0.0000, 0.5000)
Pm (0.4996, 0.6782, 0.9994)
Pm (0.4996, 0.3218, 0.5006)
Pm (0.5004, 0.6782, 0.4994)
Pm (0.5004, 0.3218, 0.0006)
Ho (0.5000, 0.0000, 0.2500)
Ho (0.5000, 0.0000, 0.7500)
Tm (0.0001, 0.5000, 0.7500)
Tm (0.9999, 0.5000, 0.2500)